(1)
First-principles (PBE) data for crystalline NpCoH4 at its relaxed geometry, as listed in Alexandria.

* distance to the lowest polymorph of the same formula: 119 meV per atom

a b c (Å): 3.1980 3.1980 4.4866
angles (deg): 90.00 90.00 90.00
Each line ends with the local moment (μB).
Atoms (fractional coordinates):
Co  0.0000  0.0000  0.5000  0.18
H  0.0000  0.0000  0.8447  0.00
H  0.0000  0.5000  0.5000  0.00
Np  0.5000  0.5000  0.0000  0.10
H  0.5000  0.0000  0.5000  0.00
H  0.0000  0.0000  0.1553  0.00

---

(2)
First-principles (PBE) data for crystalline NpCoH3 at its relaxed geometry, as listed in Alexandria.

* raw total energy: -6.172 eV per atom

a b c (Å): 3.5163 3.5163 3.5163
angles (deg): 90.00 90.00 90.00
Each line ends with the local moment (μB).
Atoms (fractional coordinates):
H  0.0000  0.5000  0.0000  -0.01
H  0.5000  0.0000  0.0000  -0.01
Co  0.0000  0.0000  0.0000  -0.14
H  0.0000  0.0000  0.5000  -0.01
Np  0.5000  0.5000  0.5000  4.01

---

(3)
First-principles (PBE) data for crystalline NpCo3H at its relaxed geometry, as listed in Alexandria.

* raw total energy: -7.516 eV per atom

a b c (Å): 3.7950 3.7950 3.7950
angles (deg): 90.00 90.00 90.00
Each line ends with the local moment (μB).
Atoms (fractional coordinates):
Np  0.5000  0.5000  0.5000  2.70
Co  0.0000  0.5000  0.0000  -0.51
Co  0.0000  0.0000  0.5000  -0.51
Co  0.5000  0.0000  0.0000  -0.51
H  0.0000  0.0000  0.0000  0.01

---

| no. | spin magnetization (μB per formula unit) |
| --- | --- |
| 1 | 0.3 |
| 2 | 4.2 |
| 3 | 1.3 |